[1]
Here is an optimized crystal structure of KReW2 from the Alexandria database. Energies are from GGA-PBE.

Results
Formation energy from the elements ... 3.92 eV per formula unit
Symmetry ... No. 25
Magnetic moment ... 0.00 μB per formula unit
Calculated density ... 10.43 g/cm3

The structure in POSCAR format:
```
KReW2
1.0
2.8896 0.0000 0.0000
0.0000 4.0696 0.0000
0.0000 0.0000 8.0290
K Re W
1 1 2
direct
0.0000 0.0000 0.0000 K
0.5000 0.5000 0.3490 Re
0.0000 0.0000 0.4840 W
0.5000 0.5000 0.6417 W
```

***

[2]
Here is an optimized crystal structure of K2ReW from the Alexandria database. Energies are from GGA-PBE.

Results
Formation energy from the elements ... 5.93 eV per formula unit
Symmetry ... No. 65
Magnetic moment ... 0.00 μB per formula unit
Calculated density ... 8.75 g/cm3

The structure in POSCAR format:
```
K2ReW
1.0
1.5272 -2.2674 0.0000
1.5272 2.2674 0.0000
0.0000 0.0000 12.2822
K Re W
2 1 1
direct
0.0000 0.0000 0.2416 K
0.0000 0.0000 0.7584 K
0.5000 0.5000 0.0000 Re
0.5000 0.5000 0.5000 W
```

***

[3]
Here is an optimized crystal structure of KRe2W from the Alexandria database. Energies are from GGA-PBE.

Results
Formation energy from the elements ... 7.07 eV per formula unit
Symmetry ... No. 47
Magnetic moment ... 0.00 μB per formula unit
Calculated density ... 14.32 g/cm3

The structure in POSCAR format:
```
KRe2W
1.0
2.8140 0.0000 0.0000
0.0000 4.9286 0.0000
0.0000 0.0000 4.9781
K Re W
1 2 1
direct
0.0000 0.0000 0.0000 K
0.0000 0.5000 0.5000 Re
0.5000 0.0000 0.5000 Re
0.5000 0.5000 0.0000 W
```

***

[4]
Here is an optimized crystal structure of KReW2 from the Alexandria database. Energies are from GGA-PBE.

Results
Formation energy from the elements ... 6.48 eV per formula unit
Symmetry ... No. 225
Magnetic moment ... 0.00 μB per formula unit
Calculated density ... 14.19 g/cm3

The structure in POSCAR format:
```
KReW2
1.0
0.0000 3.2616 3.2616
3.2616 0.0000 3.2616
3.2616 3.2616 0.0000
K Re W
1 1 2
direct
0.0000 0.0000 0.0000 K
0.5000 0.5000 0.5000 Re
0.2500 0.2500 0.2500 W
0.7500 0.7500 0.7500 W
```

***

[5]
Here is an optimized crystal structure of K2ReW from the Alexandria database. Energies are from GGA-PBE.

Results
Formation energy from the elements ... 3.62 eV per formula unit
Symmetry ... No. 6
Magnetic moment ... 0.44 μB per formula unit
Calculated density ... 6.29 g/cm3

The structure in POSCAR format:
```
K2ReW
1.0
3.2641 0.0000 0.0000
0.0000 3.2750 0.0000
-0.0926 0.0000 11.0777
K Re W
2 1 1
direct
0.0000 0.0000 0.0000 K
0.4837 0.5000 0.3905 K
0.4937 0.5000 0.7555 Re
0.9909 0.0000 0.6533 W
```

***

[6]
Here is an optimized crystal structure of K2ReW from the Alexandria database. Energies are from GGA-PBE.

Results
Formation energy from the elements ... 5.85 eV per formula unit
Symmetry ... No. 47
Magnetic moment ... 0.00 μB per formula unit
Calculated density ... 8.78 g/cm3

The structure in POSCAR format:
```
K2ReW
1.0
3.0164 0.0000 0.0000
0.0000 4.5751 0.0000
0.0000 0.0000 6.1447
K Re W
2 1 1
direct
0.0000 0.0000 0.0000 K
0.5000 0.5000 0.0000 K
0.0000 0.5000 0.5000 Re
0.5000 0.0000 0.5000 W
```

***

[7]
Here is an optimized crystal structure of KReW2 from the Alexandria database. Energies are from GGA-PBE.

Results
Formation energy from the elements ... 6.53 eV per formula unit
Symmetry ... No. 65
Magnetic moment ... 0.00 μB per formula unit
Calculated density ... 13.64 g/cm3

The structure in POSCAR format:
```
KReW2
1.0
2.8102 -4.8869 0.0000
2.8102 4.8869 0.0000
0.0000 0.0000 2.6275
K Re W
1 1 2
direct
0.0000 0.0000 0.0000 K
0.5000 0.5000 0.0000 Re
0.0000 0.5000 0.5000 W
0.5000 0.0000 0.5000 W
```

***

[8]
Here is an optimized crystal structure of K2ReW from the Alexandria database. Energies are from GGA-PBE.

Results
Formation energy from the elements ... 4.50 eV per formula unit
Symmetry ... No. 35
Magnetic moment ... 0.00 μB per formula unit
Calculated density ... 7.40 g/cm3

The structure in POSCAR format:
```
K2ReW
1.0
1.6550 -2.5127 0.0000
1.6550 2.5127 0.0000
0.0000 0.0000 12.0946
K Re W
2 1 1
direct
0.0000 0.0000 0.0000 K
0.5000 0.5000 0.3448 K
0.0000 0.0000 0.5895 Re
0.5000 0.5000 0.7429 W
```

***

[9]
Here is an optimized crystal structure of KReW2 from the Alexandria database. Energies are from GGA-PBE.

Results
Formation energy from the elements ... 6.03 eV per formula unit
Symmetry ... No. 44
Magnetic moment ... 0.71 μB per formula unit
Calculated density ... 12.59 g/cm3

The structure in POSCAR format:
```
KReW2
1.0
-1.4212 2.6695 5.1539
1.4212 -2.6695 5.1539
1.4212 2.6695 -5.1539
K Re W
1 1 2
direct
0.0000 0.0000 0.0000 K
0.2824 0.7824 0.5000 Re
0.4929 0.4929 0.0000 W
0.7105 0.2105 0.5000 W
```

***

[10]
Here is an optimized crystal structure of KRe2W from the Alexandria database. Energies are from GGA-PBE.

Results
Formation energy from the elements ... 6.43 eV per formula unit
Symmetry ... No. 216
Magnetic moment ... 0.00 μB per formula unit
Calculated density ... 14.58 g/cm3

The structure in POSCAR format:
```
KRe2W
1.0
0.0000 3.2368 3.2368
3.2368 0.0000 3.2368
3.2368 3.2368 0.0000
K Re W
1 2 1
direct
0.0000 0.0000 0.0000 K
0.2500 0.2500 0.2500 Re
0.5000 0.5000 0.5000 Re
0.7500 0.7500 0.7500 W
```

***

[11]
Here is an optimized crystal structure of KRe2W from the Alexandria database. Energies are from GGA-PBE.

Results
Formation energy from the elements ... 3.87 eV per formula unit
Symmetry ... No. 47
Magnetic moment ... 0.00 μB per formula unit
Calculated density ... 10.88 g/cm3

The structure in POSCAR format:
```
KRe2W
1.0
2.8032 0.0000 0.0000
0.0000 4.0309 0.0000
0.0000 0.0000 8.0402
K Re W
1 2 1
direct
0.0000 0.0000 0.0000 K
0.5000 0.5000 0.3502 Re
0.5000 0.5000 0.6498 Re
0.0000 0.0000 0.5000 W
```

***

[12]
Here is an optimized crystal structure of KRe2W from the Alexandria database. Energies are from GGA-PBE.

Results
Formation energy from the elements ... 6.04 eV per formula unit
Symmetry ... No. 12
Magnetic moment ... 0.00 μB per formula unit
Calculated density ... 14.23 g/cm3

The structure in POSCAR format:
```
KRe2W
1.0
2.9336 -4.7215 0.0000
2.9336 4.7215 0.0000
-0.8039 0.0000 2.5070
K Re W
1 2 1
direct
0.0000 0.0000 0.0000 K
0.0000 0.5000 0.5000 Re
0.5000 0.0000 0.5000 Re
0.5000 0.5000 0.0000 W
```

***

In order of appearance, DOS at the Fermi energy = 0.644, 0.810, 1.047, 1.236, 1.204, 0.870, 1.007, 0.957, 0.958, 1.076, 0.828, 1.052 states/eV/atom.
In order of appearance, polymorph energy (0 for the lowest one) = 203, 575, 1016, 845, 0, 556, 857, 218, 733, 856, 216, 759 meV/atom.
In order of appearance, VASP energy = -0.326, -0.199, -0.293, -0.303, -0.220, -0.200, -0.302, -0.212, -0.307, -0.299, -0.322, -0.302 Ha/atom.